# PmNd12Ho7 | the Alexandria database | PBE | optimized geometry
# Magnetization in μB per cell: 0.000
# Excess energy over the best structure of this formula in the dataset in meV/atom: 96
# Uncorrected energy in eV/atom: -4.454
# Formation energy in eV/f.u.: 4.93
data_PmNd12Ho7
_space_group_name_H-M_alt 'R -3 m'
_space_group_IT_number 166
_space_group_name_Hall '-R 3 2"'
_cell_length_a 19.6756
_cell_length_b 19.6756
_cell_length_c 6.2299
_cell_angle_alpha 90.00
_cell_angle_beta 90.00
_cell_angle_gamma 120.00
loop_
_atom_site_label
_atom_site_type_symbol
_atom_site_fract_x
_atom_site_fract_y
_atom_site_fract_z
Pm1 Pm 0.0000 0.0000 0.0000
Nd1 Nd 0.0000 0.4124 0.5000
Nd2 Nd 0.0974 0.5487 0.9674
Ho1 Ho 0.0000 0.0000 0.5000
Ho2 Ho 0.0818 0.1636 0.7927

---

# Pm3NdHo6 | the Alexandria database | PBE | optimized geometry
# Magnetization in μB per cell: 0.002
# Excess energy over the best structure of this formula in the dataset in meV/atom: 0
# Uncorrected energy in eV/atom: -4.500
# Formation energy in eV/f.u.: 1.48
data_Pm3NdHo6
_space_group_name_H-M_alt 'C m c 21'
_space_group_IT_number 36
_cell_length_a 11.0685
_cell_length_b 18.9827
_cell_length_c 6.2667
_cell_angle_alpha 90.00
_cell_angle_beta 90.00
_cell_angle_gamma 90.00
loop_
_space_group_symop_operation_xyz
'x,y,z'
'-x,-y,z+1/2'
'-x,y,z'
'x,-y,z+1/2'
'x+1/2,y+1/2,z'
'-x+1/2,-y+1/2,z+1/2'
'-x+1/2,y+1/2,z'
'x+1/2,-y+1/2,z+1/2'
loop_
_atom_site_label
_atom_site_type_symbol
_atom_site_fract_x
_atom_site_fract_y
_atom_site_fract_z
Pm1 Pm 0.0000 0.1098 0.0000
Pm2 Pm 0.1742 0.3890 0.6066
Nd1 Nd 0.0000 0.2980 0.9298
Ho1 Ho 0.0000 0.2208 0.4263
Ho2 Ho 0.0000 0.4568 0.1715
Ho3 Ho 0.1652 0.0469 0.5305
Ho4 Ho 0.2465 0.2106 0.6979

---

# Pm3Nd2Ho4 | the Alexandria database | PBE | optimized geometry
# Magnetization in μB per cell: 0.000
# Uncorrected energy in eV/atom: -4.661
# Formation energy in eV/f.u.: 0.15
data_Pm3Nd2Ho4
_space_group_name_H-M_alt 'P -1'
_space_group_IT_number 2
_cell_length_a 6.2283
_cell_length_b 6.2432
_cell_length_c 8.0490
_cell_angle_alpha 82.53
_cell_angle_beta 75.06
_cell_angle_gamma 80.48
loop_
_space_group_symop_operation_xyz
'x,y,z'
'-x,-y,-z'
loop_
_atom_site_label
_atom_site_type_symbol
_atom_site_fract_x
_atom_site_fract_y
_atom_site_fract_z
Pm1 Pm 0.0000 0.0000 0.0000
Pm2 Pm 0.4427 0.8895 0.2220
Nd1 Nd 0.3323 0.6675 0.6671
Ho1 Ho 0.1096 0.2245 0.5544
Ho2 Ho 0.2224 0.4464 0.1116

---

# PmNd2Ho4 | the Alexandria database | PBE | optimized geometry
# Magnetization in μB per cell: 0.003
# Excess energy over the best structure of this formula in the dataset in meV/atom: 214
# Uncorrected energy in eV/atom: -4.395
# Formation energy in eV/f.u.: 1.83
data_PmNd2Ho4
_space_group_name_H-M_alt 'I 4/m m m'
_space_group_IT_number 139
_space_group_name_Hall '-I 4 2'
_cell_length_a 4.5698
_cell_length_b 4.5698
_cell_length_c 22.6207
_cell_angle_alpha 90.00
_cell_angle_beta 90.00
_cell_angle_gamma 90.00
loop_
_atom_site_label
_atom_site_type_symbol
_atom_site_fract_x
_atom_site_fract_y
_atom_site_fract_z
Pm1 Pm 0.0000 0.0000 0.0000
Nd1 Nd 0.0000 0.0000 0.4021
Ho1 Ho 0.0000 0.0000 0.1403
Ho2 Ho 0.0000 0.5000 0.2500

---

# Pm3Nd4Ho3 | the Alexandria database | PBE | optimized geometry
# Magnetization in μB per cell: 0.000
# Uncorrected energy in eV/atom: -4.611
# Formation energy in eV/f.u.: 0.95
data_Pm3Nd4Ho3
_space_group_name_H-M_alt 'A m m 2'
_space_group_IT_number 38
_cell_length_a 3.8400
_cell_length_b 13.3814
_cell_length_c 13.3251
_cell_angle_alpha 90.00
_cell_angle_beta 90.00
_cell_angle_gamma 90.00
loop_
_space_group_symop_operation_xyz
'x,y,z'
'-x,-y,z'
'-x,y,z'
'x,-y,z'
'x,y+1/2,z+1/2'
'-x,-y+1/2,z+1/2'
'-x,y+1/2,z+1/2'
'x,-y+1/2,z+1/2'
loop_
_atom_site_label
_atom_site_type_symbol
_atom_site_fract_x
_atom_site_fract_y
_atom_site_fract_z
Pm1 Pm 0.0000 0.0000 0.0000
Pm2 Pm 0.5000 0.2468 0.5818
Nd1 Nd 0.5000 0.0000 0.2029
Nd2 Nd 0.5000 0.0000 0.4602
Nd3 Nd 0.5000 0.1303 0.8299
Ho1 Ho 0.0000 0.0000 0.6617
Ho2 Ho 0.0000 0.1689 0.3316

---

# Pm3Nd2Ho8 | the Alexandria database | PBE | optimized geometry
# Magnetization in μB per cell: 0.000
# Excess energy over the best structure of this formula in the dataset in meV/atom: 18
# Uncorrected energy in eV/atom: -4.398
# Formation energy in eV/f.u.: 3.24
data_Pm3Nd2Ho8
_space_group_name_H-M_alt 'C 1 2/m 1'
_space_group_IT_number 12
_cell_length_a 20.5528
_cell_length_b 7.6825
_cell_length_c 5.5992
_cell_angle_alpha 90.00
_cell_angle_beta 90.02
_cell_angle_gamma 90.00
loop_
_space_group_symop_operation_xyz
'x,y,z'
'-x,-y,-z'
'-x,y,-z'
'x,-y,z'
'x+1/2,y+1/2,z'
'-x+1/2,-y+1/2,-z'
'-x+1/2,y+1/2,-z'
'x+1/2,-y+1/2,z'
loop_
_atom_site_label
_atom_site_type_symbol
_atom_site_fract_x
_atom_site_fract_y
_atom_site_fract_z
Pm1 Pm 0.0000 0.0000 0.0000
Pm2 Pm 0.0000 0.2921 0.5000
Nd1 Nd 0.2411 0.0000 0.9993
Ho1 Ho 0.1077 0.2891 0.0002
Ho2 Ho 0.1307 0.0000 0.4998
Ho3 Ho 0.1645 0.5000 0.5005

---

# Pm2Nd5Ho5 | the Alexandria database | PBE | optimized geometry
# Magnetization in μB per cell: 0.000
# Uncorrected energy in eV/atom: -4.669
# Formation energy in eV/f.u.: 0.20
data_Pm2Nd5Ho5
_space_group_name_H-M_alt 'C 1 2/m 1'
_space_group_IT_number 12
_cell_length_a 15.3208
_cell_length_b 5.0937
_cell_length_c 11.4426
_cell_angle_alpha 90.00
_cell_angle_beta 116.60
_cell_angle_gamma 90.00
loop_
_space_group_symop_operation_xyz
'x,y,z'
'-x,-y,-z'
'-x,y,-z'
'x,-y,z'
'x+1/2,y+1/2,z'
'-x+1/2,-y+1/2,-z'
'-x+1/2,y+1/2,-z'
'x+1/2,-y+1/2,z'
loop_
_atom_site_label
_atom_site_type_symbol
_atom_site_fract_x
_atom_site_fract_y
_atom_site_fract_z
Pm1 Pm 0.0829 0.0000 0.2517
Nd1 Nd 0.0000 0.0000 0.5000
Nd2 Nd 0.1652 0.0000 0.9988
Nd3 Nd 0.2492 0.0000 0.7476
Ho1 Ho 0.0000 0.5000 0.0000
Ho2 Ho 0.0824 0.5000 0.7489
Ho3 Ho 0.1671 0.5000 0.5006

---

# Pm2Nd2Ho | the Alexandria database | PBE | optimized geometry
# Magnetization in μB per cell: 0.024
# Excess energy over the best structure of this formula in the dataset in meV/atom: 200
# Uncorrected energy in eV/atom: -4.496
# Formation energy in eV/f.u.: 1.13
data_Pm2Nd2Ho
_space_group_name_H-M_alt 'C 1 2/c 1'
_space_group_IT_number 15
_cell_length_a 8.5907
_cell_length_b 9.9078
_cell_length_c 8.9861
_cell_angle_alpha 90.00
_cell_angle_beta 112.54
_cell_angle_gamma 90.00
loop_
_space_group_symop_operation_xyz
'x,y,z'
'-x,-y,-z'
'-x,y,-z+1/2'
'x,-y,z+1/2'
'x+1/2,y+1/2,z'
'-x+1/2,-y+1/2,-z'
'-x+1/2,y+1/2,-z+1/2'
'x+1/2,-y+1/2,z+1/2'
loop_
_atom_site_label
_atom_site_type_symbol
_atom_site_fract_x
_atom_site_fract_y
_atom_site_fract_z
Pm1 Pm 0.0000 0.0000 0.0000
Pm2 Pm 0.2500 0.2500 0.0000
Nd1 Nd 0.1585 0.4143 0.6374
Ho1 Ho 0.0000 0.2968 0.2500

---

Fermi-level density of states (states/eV/f.u.)
29.04 14.65 12.33 11.59 10.69 23.35 17.50 8.12